{
  "formula": "ZrBr4",
  "functional": "PBE-GGA",
  "state": "optimized geometry",
  "lattice": [[-1.870, 1.870, 11.377], [1.870, -1.870, 11.377], [1.870, 1.870, -11.377]],
  "species": ["Zr", "Br", "Br", "Br", "Br"],
  "frac_coords": [[0.000, 0.000, 0.000], [0.250, 0.750, 0.500], [0.429, 0.429, 0.000], [0.571, 0.571, 0.000], [0.750, 0.250, 0.500]],
  "energy_ev_per_atom": -3.335,
  "formation_energy_uncorrected_ev_per_atom": -0.29,
  "magnetic_moment_mub_per_cell": 0.57
}

***

{
  "formula": "ZrBr",
  "functional": "PBE-GGA",
  "state": "optimized geometry",
  "lattice": [[3.411, 0.000, 0.000], [0.000, 12.753, 0.000], [0.000, 0.000, 6.797]],
  "species": ["Zr", "Zr", "Zr", "Zr", "Zr", "Zr", "Br", "Br", "Br", "Br", "Br", "Br"],
  "frac_coords": [[0.250, 0.122, 0.000], [0.250, 0.378, 0.000], [0.250, 0.750, 0.293], [0.750, 0.250, 0.707], [0.750, 0.622, 0.000], [0.750, 0.878, 0.000], [0.250, 0.250, 0.350], [0.250, 0.535, 0.285], [0.250, 0.965, 0.285], [0.750, 0.035, 0.715], [0.750, 0.465, 0.715], [0.750, 0.750, 0.650]],
  "energy_ev_per_atom": -5.767,
  "relative_energy_mev_per_atom": 332,
  "formation_energy_uncorrected_ev_per_atom": -0.66,
  "magnetic_moment_mub_per_cell": 0.00
}